VASP calculation (PBE) on a relaxed structure of Cd2AgPb.

Calculated values
- M_tot (μB per atom) = 0.000
- VASP energy (eV/cell) = -24.5
- energy relative to the elements (eV/atom) = 0.053
- DOS(E_F) (states/eV per cell) = 3.8

Geometry as CIF:
```
data_Cd2AgPb
_space_group_name_H-M_alt 'R 3 m'
_space_group_IT_number 160
_space_group_name_Hall 'R 3 -2"'
_cell_length_a 3.3196
_cell_length_b 3.3196
_cell_length_c 30.1969
_cell_angle_alpha 90.00
_cell_angle_beta 90.00
_cell_angle_gamma 120.00
loop_
_atom_site_label
_atom_site_type_symbol
_atom_site_fract_x
_atom_site_fract_y
_atom_site_fract_z
Cd1 Cd 0.0000 0.0000 0.0000
Cd2 Cd 0.0000 0.0000 0.1867
Ag1 Ag 0.0000 0.0000 0.5934
Pb1 Pb 0.0000 0.0000 0.7593
```


VASP calculation (PBE) on a relaxed structure of HfAgPd2.

Calculated values
- M_tot (μB per atom) = 0.000
- VASP energy (eV/cell) = -25.4
- energy relative to the elements (eV/atom) = -0.550
- DOS(E_F) (states/eV per cell) = 2.2

Geometry as CIF:
```
data_HfAgPd2
_space_group_name_H-M_alt 'P 4/m m m'
_space_group_IT_number 123
_space_group_name_Hall '-P 4 2'
_cell_length_a 3.447
_cell_length_b 3.447
_cell_length_c 5.818
_cell_angle_alpha 90.00
_cell_angle_beta 90.00
_cell_angle_gamma 90.00
loop_
_atom_site_label
_atom_site_type_symbol
_atom_site_fract_x
_atom_site_fract_y
_atom_site_fract_z
Hf1 Hf 0.000 0.000 0.000
Ag1 Ag 0.000 0.000 0.500
Pd1 Pd 0.500 0.500 0.246
```


VASP calculation (PBE) on a relaxed structure of UNi2B.

Calculated values
- M_tot (μB per atom) = 0.592
- VASP energy (eV/cell) = -88.0
- energy relative to the elements (eV/atom) = 0.051
- DOS(E_F) (states/eV per cell) = 17.0

Geometry as CIF:
```
data_UNi2B
_space_group_name_H-M_alt 'R -3 m'
_space_group_IT_number 166
_space_group_name_Hall '-R 3 2"'
_cell_length_a 3.0088
_cell_length_b 3.0088
_cell_length_c 20.5181
_cell_angle_alpha 90.00
_cell_angle_beta 90.00
_cell_angle_gamma 120.00
loop_
_atom_site_label
_atom_site_type_symbol
_atom_site_fract_x
_atom_site_fract_y
_atom_site_fract_z
U1 U 0.0000 0.0000 0.0000
Ni1 Ni 0.0000 0.0000 0.2123
B1 B 0.0000 0.0000 0.5000
```


VASP calculation (PBE) on a relaxed structure of B2PtF2.

Calculated values
- energy relative to the elements, uncorrected (eV/atom) = -0.26
- M_tot (μB per atom) = 0.000
- VASP energy (eV/cell) = -48.9
- DOS(E_F) (states/eV per cell) = 3.7

Geometry as CIF:
```
data_B2PtF2
_space_group_name_H-M_alt 'P 4/m b m'
_space_group_IT_number 127
_space_group_name_Hall '-P 4 2ab'
_cell_length_a 6.473
_cell_length_b 6.473
_cell_length_c 2.653
_cell_angle_alpha 90.00
_cell_angle_beta 90.00
_cell_angle_gamma 90.00
loop_
_atom_site_label
_atom_site_type_symbol
_atom_site_fract_x
_atom_site_fract_y
_atom_site_fract_z
B1 B 0.217 0.283 0.000
Pt1 Pt 0.000 0.000 0.000
F1 F 0.120 0.380 0.500
```


VASP calculation (PBE) on a relaxed structure of TcSeCl2.

Calculated values
- energy relative to the elements, uncorrected (eV/atom) = -0.34
- M_tot (μB per atom) = 0.000
- VASP energy (eV/cell) = -37.8
- DOS(E_F) (states/eV per cell) = 6.8

Geometry as CIF:
```
data_TcSeCl2
_space_group_name_H-M_alt 'C m m m'
_space_group_IT_number 65
_space_group_name_Hall '-C 2 2'
_cell_length_a 4.817
_cell_length_b 13.934
_cell_length_c 3.127
_cell_angle_alpha 90.00
_cell_angle_beta 90.00
_cell_angle_gamma 90.00
loop_
_atom_site_label
_atom_site_type_symbol
_atom_site_fract_x
_atom_site_fract_y
_atom_site_fract_z
Tc1 Tc 0.000 0.000 0.000
Se1 Se 0.000 0.500 0.000
Cl1 Cl 0.000 0.134 0.500
```


VASP calculation (PBE) on a relaxed structure of Sr6ZnGa2.

Calculated values
- M_tot (μB per atom) = 0.000
- VASP energy (eV/cell) = -76.4
- energy relative to the elements (eV/atom) = -0.188
- DOS(E_F) (states/eV per cell) = 49.4

Geometry as CIF:
```
data_Sr6ZnGa2
_space_group_name_H-M_alt 'I m m m'
_space_group_IT_number 71
_space_group_name_Hall '-I 2 2'
_cell_length_a 10.901
_cell_length_b 11.035
_cell_length_c 11.615
_cell_angle_alpha 90.00
_cell_angle_beta 90.00
_cell_angle_gamma 90.00
loop_
_atom_site_label
_atom_site_type_symbol
_atom_site_fract_x
_atom_site_fract_y
_atom_site_fract_z
Sr1 Sr 0.000 0.189 0.249
Sr2 Sr 0.182 0.500 0.334
Sr3 Sr 0.236 0.326 0.000
Zn1 Zn 0.000 0.000 0.000
Zn2 Zn 0.000 0.000 0.500
Ga1 Ga 0.000 0.330 0.500
Ga2 Ga 0.000 0.500 0.107
```


VASP calculation (PBE) on a relaxed structure of K3U3VSe8.

Calculated values
- energy relative to the elements, uncorrected (eV/atom) = -1.16
- M_tot (μB per atom) = 0.667
- VASP energy (eV/cell) = -274.8
- DOS(E_F) (states/eV per cell) = 35.6

Geometry as CIF:
```
data_K3U3VSe8
_space_group_name_H-M_alt 'R -3 m'
_space_group_IT_number 166
_space_group_name_Hall '-R 3 2"'
_cell_length_a 8.1472
_cell_length_b 8.1472
_cell_length_c 23.7338
_cell_angle_alpha 90.00
_cell_angle_beta 90.00
_cell_angle_gamma 120.00
loop_
_atom_site_label
_atom_site_type_symbol
_atom_site_fract_x
_atom_site_fract_y
_atom_site_fract_z
K1 K 0.0000 0.5000 0.0000
U1 U 0.0000 0.5000 0.5000
V1 V 0.0000 0.0000 0.5000
Se1 Se 0.0000 0.0000 0.2369
Se2 Se 0.0176 0.5088 0.2314
```


VASP calculation (PBE) on a relaxed structure of Li2Sm3YSe6.

Calculated values
- energy relative to the elements, uncorrected (eV/atom) = -1.74
- M_tot (μB per atom) = 0.000
- VASP energy (eV/cell) = -132.4
- DOS(E_F) (states/eV per cell) = 5.5

Geometry as CIF:
```
data_Li2Sm3YSe6
_space_group_name_H-M_alt 'C 1 2/m 1'
_space_group_IT_number 12
_cell_length_a 7.100
_cell_length_b 12.297
_cell_length_c 7.085
_cell_angle_alpha 90.00
_cell_angle_beta 109.52
_cell_angle_gamma 90.00
loop_
_space_group_symop_operation_xyz
'x,y,z'
'-x,-y,-z'
'-x,y,-z'
'x,-y,z'
'x+1/2,y+1/2,z'
'-x+1/2,-y+1/2,-z'
'-x+1/2,y+1/2,-z'
'x+1/2,-y+1/2,z'
loop_
_atom_site_label
_atom_site_type_symbol
_atom_site_fract_x
_atom_site_fract_y
_atom_site_fract_z
Li1 Li 0.000 0.167 0.000
Sm1 Sm 0.000 0.000 0.500
Sm2 Sm 0.000 0.333 0.500
Y1 Y 0.000 0.500 0.000
Se1 Se 0.241 0.000 0.238
Se2 Se 0.248 0.331 0.237
```